Entry from the Alexandria database: a relaxed Ti2AlPbN crystal (PBE).

For the uncorrected formation energy, the calculation gives 1.788 eV per atom.

It has space group P4/mmm (No. 123), with a = 4.881 Å, b = 4.881 Å, c = 5.099 Å, α = 90.00°, β = 90.00° and γ = 90.00°. The distinct sites, in fractional coordinates, are Ti at (0.000, 0.500, 0.000), Al at (0.000, 0.000, 0.000), Pb at (0.000, 0.000, 0.500) and N at (0.500, 0.500, 0.500).